Record 1
Here is crystalline Mg2Zn2Ga at its relaxed geometry from Alexandria via LeMat-Bulk. Energies are from GGA-PBE.

Cell: 6.6912 6.6912 8.2824 Å, 90.00 90.00 90.00°
Closest atoms and distances in Å follow each position.
Space group P4/mnc (No. 128)
One atom of each set of equivalent atoms:
Mg: 0.1678 0.3324 0.0000 (multiplicity 8)  6 Zn 2.80-2.90
Zn: 0.1329 0.6329 0.2500 (multiplicity 8)  1 Zn 2.51, 2 Ga 2.61, 2 Mg 2.80
Ga: 0.0000 0.0000 0.2494 (multiplicity 4)  4 Zn 2.61

Output
- Formation enthalpy at 0 K: -8 kJ per mole of atoms
- Total DFT energy (no corrections): -36.78 eV/cell
- Spin magnetization: 0.00 μB per formula unit



Record 2
Here is crystalline La2NbC2 at its relaxed geometry from Alexandria via LeMat-Bulk. Energies are from GGA-PBE.

Cell: 4.6507 4.6507 9.7490 Å, 90.00 90.00 90.00°
Closest atoms and distances in Å follow each position.
Space group I4/mmm (No. 139)
One atom of each set of equivalent atoms:
La: 0.0000 0.0000 0.1580 (multiplicity 4)  4 C 2.49
Nb: 0.0000 0.0000 0.5000 (multiplicity 2)  10 La 3.33-3.63, 8 C 3.37
C: 0.0000 0.5000 0.2500 (multiplicity 4)  4 La 2.49

Output
- Energy relative to the lowest polymorph listed for this composition: 0.000 eV per atom
- Formation enthalpy at 0 K: 110 kJ per mole of atoms
- Total DFT energy (no corrections): -65.38 eV/cell
- Spin magnetization: 2.59 μB per formula unit



Record 3
Here is crystalline CeNdI at its relaxed geometry from Alexandria via LeMat-Bulk. Energies are from GGA-PBE.

Cell: 5.5446 5.5446 3.7500 Å, 90.00 90.00 120.00°
Closest atoms and distances in Å follow each position.
Space group P-6m2 (No. 187)
One atom of each set of equivalent atoms:
Ce: 0.0000 0.0000 0.0000 (multiplicity 1)  3 I 3.20
Nd: 0.3333 0.6667 0.5000 (multiplicity 1)  6 Ce 3.71, 6 I 3.71, 2 Nd 3.75
I: 0.6667 0.3333 0.0000 (multiplicity 1)  3 Ce 3.20

Output
- Energy relative to the lowest polymorph listed for this composition: 0.397 eV per atom
- Formation energy without anion corrections: -0.113 eV per atom
- Total DFT energy (no corrections): -12.59 eV/cell
- Spin magnetization: 2.08 μB per formula unit



Record 4
Here is crystalline Li2Tl2I at its relaxed geometry from Alexandria via LeMat-Bulk. Energies are from GGA-PBE.

Cell: 7.6848 7.6848 4.5962 Å, 90.00 90.00 90.00°
Closest atoms and distances in Å follow each position.
Space group P4/mbm (No. 127)
One atom of each set of equivalent atoms:
Li: 0.1534 0.3466 0.0000 (multiplicity 4)  2 I 2.91, 2 Tl 3.15
Tl: 0.1484 0.6484 0.5000 (multiplicity 4)  6 Li 3.15-3.27, 1 Tl 3.23
I: 0.0000 0.0000 0.0000 (multiplicity 2)  4 Li 2.91

Output
- Energy relative to the lowest polymorph listed for this composition: 0.000 eV per atom
- Formation energy without anion corrections: -0.301 eV per atom
- Total DFT energy (no corrections): -23.24 eV/cell
- Spin magnetization: 0.00 μB per formula unit



Record 5
Here is crystalline Mg2ZrPC at its relaxed geometry from Alexandria via LeMat-Bulk. Energies are from GGA-PBE.

Cell: 5.3288 5.3288 3.4900 Å, 90.00 90.00 90.00°
Closest atoms and distances in Å follow each position.
Space group P4/mmm (No. 123)
One atom of each set of equivalent atoms:
Mg: 0.0000 0.5000 0.0000 (multiplicity 2)  2 P 2.66
Zr: 0.0000 0.0000 0.5000 (multiplicity 1)  8 Mg 3.18, 2 Zr 3.49
P: 0.5000 0.5000 0.0000 (multiplicity 1)  2 C 1.75
C: 0.5000 0.5000 0.5000 (multiplicity 1)  2 P 1.75

Output
- Formation enthalpy at 0 K: 94 kJ per mole of atoms
- Total DFT energy (no corrections): -21.49 eV/cell
- Spin magnetization: 0.00 μB per formula unit



Record 6
Here is crystalline CaTmSc at its relaxed geometry from Alexandria via LeMat-Bulk. Energies are from GGA-PBE.

Cell: 3.5023 3.5023 8.7740 Å, 90.00 90.00 120.00°
Closest atoms and distances in Å follow each position.
Space group P3m1 (No. 156)
One atom of each set of equivalent atoms:
Ca: 0.0000 0.0000 0.0000 (multiplicity 1)  6 Ca 3.50, 3 Sc 3.61, 3 Tm 3.77
Tm: 0.3333 0.6667 0.6372 (multiplicity 1)  3 Sc 3.29, 6 Tm 3.50
Sc: 0.6667 0.3333 0.3415 (multiplicity 1)  3 Tm 3.29, 6 Sc 3.50, 3 Ca 3.61

Output
- Energy relative to the lowest polymorph listed for this composition: 0.018 eV per atom
- Formation enthalpy at 0 K: 14 kJ per mole of atoms
- Total DFT energy (no corrections): -12.37 eV/cell
- Spin magnetization: 0.63 μB per formula unit



Record 7
Here is crystalline BaCaAu at its relaxed geometry from Alexandria via LeMat-Bulk. Energies are from GGA-PBE.

Cell: 9.1106 6.5815 8.7210 Å, 90.00 114.32 90.00°
Closest atoms and distances in Å follow each position.
Space group P2_1/c (No. 14)
One atom of each set of equivalent atoms:
Ba: 0.1539 0.1028 0.3755 (multiplicity 4)  3 Au 3.37-3.44
Ca: 0.4258 0.6388 0.6379 (multiplicity 4)  3 Au 2.98-3.05
Au: 0.2499 0.5720 0.2682 (multiplicity 4)  3 Ca 2.98-3.05

Output
- Energy relative to the lowest polymorph listed for this composition: 0.000 eV per atom
- Formation enthalpy at 0 K: -51 kJ per mole of atoms
- Total DFT energy (no corrections): -35.20 eV/cell
- Spin magnetization: 0.00 μB per formula unit



Record 8
Here is crystalline ScTlNi2C at its relaxed geometry from Alexandria via LeMat-Bulk. Energies are from GGA-PBE.

Cell: 4.4536 4.4536 5.6900 Å, 90.00 90.00 90.00°
Closest atoms and distances in Å follow each position.
Space group P4/mmm (No. 123)
One atom of each set of equivalent atoms:
Sc: 0.0000 0.0000 0.0000 (multiplicity 1)  4 Ni 2.23
Tl: 0.0000 0.0000 0.5000 (multiplicity 1)  2 Sc 2.84, 4 C 3.15
Ni: 0.0000 0.5000 0.0000 (multiplicity 2)  2 Sc 2.23
C: 0.5000 0.5000 0.5000 (multiplicity 1)  4 Tl 3.15

Output
- Formation enthalpy at 0 K: 205 kJ per mole of atoms
- Total DFT energy (no corrections): -18.85 eV/cell
- Spin magnetization: 1.59 μB per formula unit



Record 9
Here is crystalline TlTePb2 at its relaxed geometry from Alexandria via LeMat-Bulk. Energies are from GGA-PBE.

Cell: 3.3237 5.8871 6.5262 Å, 90.00 91.03 90.00°
Closest atoms and distances in Å follow each position.
Space group P2/m (No. 10)
One atom of each set of equivalent atoms:
Tl: 0.0000 0.0000 0.0000 (multiplicity 1)  2 Tl 3.32, 4 Pb 3.61, 4 Te 3.64-3.69
Te: 0.5000 0.0000 0.5000 (multiplicity 1)  2 Te 3.32, 4 Pb 3.39, 4 Tl 3.64-3.69
Pb: 0.3806 0.5000 0.7478 (multiplicity 2)  4 Pb 3.32-3.37, 2 Te 3.39, 2 Tl 3.61

Output
- Energy relative to the lowest polymorph listed for this composition: 0.045 eV per atom
- Formation energy without anion corrections: -0.053 eV per atom
- Total DFT energy (no corrections): -13.14 eV/cell
- Spin magnetization: 0.00 μB per formula unit



Record 10
Here is crystalline PuPa2Sn9 at its relaxed geometry from Alexandria via LeMat-Bulk. Energies are from GGA-PBE.

Cell: 4.6536 4.6536 13.9318 Å, 90.00 90.00 90.00°
Closest atoms and distances in Å follow each position.
Space group P4/mmm (No. 123)
One atom of each set of equivalent atoms:
Pu: 0.0000 0.0000 0.0000 (multiplicity 1)  12 Sn 3.29
Pa: 0.0000 0.0000 0.3356 (multiplicity 2)  12 Sn 3.27-3.30
Sn: 0.0000 0.5000 0.1671 (multiplicity 4)  8 Sn 3.28-3.29, 2 Pu 3.29, 2 Pa 3.30
Sn: 0.0000 0.5000 0.5000 (multiplicity 2)  4 Pa 3.27, 8 Sn 3.29
Sn: 0.5000 0.5000 0.0000 (multiplicity 1)  4 Pu 3.29, 8 Sn 3.29
Sn: 0.5000 0.5000 0.3328 (multiplicity 2)  8 Sn 3.28-3.29, 4 Pa 3.29

Output
- Formation enthalpy at 0 K: -31 kJ per mole of atoms
- Total DFT energy (no corrections): -73.26 eV/cell
- Spin magnetization: 4.97 μB per formula unit



Record 11
Here is crystalline LiScMn2S at its relaxed geometry from Alexandria via LeMat-Bulk. Energies are from GGA-PBE.

Cell: 4.5951 4.5951 5.0869 Å, 90.00 90.00 90.00°
Closest atoms and distances in Å follow each position.
Space group P4/mmm (No. 123)
One atom of each set of equivalent atoms:
Li: 0.0000 0.0000 0.0000 (multiplicity 1)  2 Sc 2.54
Sc: 0.0000 0.0000 0.5000 (multiplicity 1)  4 Mn 2.30, 2 Li 2.54
Mn: 0.0000 0.5000 0.5000 (multiplicity 2)  2 Sc 2.30
S: 0.5000 0.5000 0.0000 (multiplicity 1)  4 Li 3.25, 8 Mn 3.43

Output
- Formation energy without anion corrections: 1.205 eV per atom
- Total DFT energy (no corrections): -24.69 eV/cell
- Spin magnetization: 6.03 μB per formula unit



Record 12
Here is crystalline Hf2Be2Pb at its relaxed geometry from Alexandria via LeMat-Bulk. Energies are from GGA-PBE.

Cell: 6.5180 6.5180 3.9360 Å, 90.00 90.00 90.00°
Closest atoms and distances in Å follow each position.
Space group P4/mbm (No. 127)
One atom of each set of equivalent atoms:
Hf: 0.1671 0.3329 0.0000 (multiplicity 4)  6 Be 2.71-2.83
Be: 0.1123 0.6123 0.5000 (multiplicity 4)  1 Be 2.07
Pb: 0.0000 0.0000 0.5000 (multiplicity 2)  4 Be 2.63

Output
- Energy relative to the lowest polymorph listed for this composition: 0.091 eV per atom
- Formation enthalpy at 0 K: -9 kJ per mole of atoms
- Total DFT energy (no corrections): -63.12 eV/cell
- Spin magnetization: 0.00 μB per formula unit